Record 1
Density functional theory data (GGA-PBE) for Ba3BiH3 after structural relaxation.

E: -23.54 eV/f.u.

Structure (POSCAR):
```
Ba3BiH3
1.0
8.1300 0.0000 0.0000
4.0650 7.0408 0.0000
4.0650 2.3469 8.1411
Bi Ba H
2 6 6
Cartesian
8.1301 4.6939 0.0209
8.1300 4.6939 8.1201
5.5133 4.4845 2.2876
9.2571 7.0647 2.2876
7.0030 2.3230 5.8535
9.6197 2.5324 2.2876
10.7468 4.9032 5.8535
6.6404 6.8554 5.8535
6.6015 6.9859 3.1141
9.3508 7.1636 5.0270
10.8793 4.8716 3.1141
9.6586 2.4019 5.0270
5.3808 4.5162 5.0270
6.9093 2.2241 3.1141
```



Record 2
Density functional theory data (GGA-PBE) for Ca5TlSi2 after structural relaxation.

E: -26.95 eV/f.u.

Structure (POSCAR):
```
Ca5TlSi2
1.0
7.0388 0.0000 -3.3227
-1.5685 6.8619 -3.3227
0.1426 0.1789 9.4190
Si Tl Ca
4 2 10
Cartesian
1.3420 6.0981 -4.2444
0.1738 2.6671 -1.6614
4.1283 0.7638 -2.4011
5.2965 4.1947 -4.9841
4.1741 5.2358 -0.2745
1.4389 1.8049 3.0482
2.7352 3.4309 -3.3227
2.8306 4.8498 2.7794
-0.4581 3.8401 4.9297
0.9624 5.6219 -1.1782
0.0000 0.0000 0.0000
4.2510 6.6316 -3.3285
2.7824 2.1909 -0.0057
1.3620 0.4092 6.1021
6.0710 3.2007 -2.1560
4.6506 1.4189 3.9518
```



Record 3
Density functional theory data (GGA-PBE) for RbF3 after structural relaxation.

E: -12.58 eV/f.u.

Structure (POSCAR):
```
RbF3
1.0
7.1860 0.0000 0.0000
0.0000 4.7461 -0.0402
0.0000 0.1001 9.3165
F Rb
12 4
Cartesian
1.5048 3.7683 1.1063
5.0978 1.0779 8.1700
5.6792 1.4193 3.5095
0.3415 0.2848 0.8497
2.6764 2.5368 1.4517
6.8412 2.6854 3.7924
0.9155 4.6626 6.0991
3.2482 2.1608 5.4838
3.9345 4.5614 8.4265
4.5085 0.1836 3.1771
6.2694 2.3094 7.8245
2.0862 3.4269 5.7667
5.4830 3.0956 1.1426
1.7008 0.7452 3.4844
5.2938 4.1010 5.7919
1.8900 1.7506 8.1336
```



Record 4
Density functional theory data (GGA-PBE) for AlCu2HPd after structural relaxation.

distance to the lowest polymorph of the same formula: 0 meV/atom

Structure (POSCAR):
```
AlCu2HPd
1.0
3.7668 0.0000 0.0000
0.0000 3.7668 0.0000
0.0000 0.0000 3.9772
H Pd Cu Al
1 1 2 1
Cartesian
0.0000 0.0000 0.0000
0.0000 0.0000 1.9886
0.0000 1.8834 0.0000
1.8834 0.0000 0.0000
1.8834 1.8834 1.9886
```



Record 5
Density functional theory data (GGA-PBE) for TlRuRh2 after structural relaxation.

distance to the lowest polymorph of the same formula: 34 meV/atom

Structure (POSCAR):
```
TlRuRh2
1.0
-1.1404 -2.3353 1.2558
-0.0127 -1.8073 -3.3724
5.3469 -2.0353 1.0706
Rh Tl Ru
2 1 1
Cartesian
2.5385 -0.9663 0.5083
0.1350 -0.0514 0.0270
3.4336 -3.5978 -0.2554
0.7601 -2.5802 -0.7906
```



Record 6
Density functional theory data (GGA-PBE) for NbMoHPt2 after structural relaxation.

distance to the lowest polymorph of the same formula: 34 meV/atom

Structure (POSCAR):
```
NbMoHPt2
1.0
-0.6708 3.3770 -1.8851
1.3043 -1.6036 -3.3368
-4.0128 -1.3189 -0.9347
Pt H Nb Mo
2 1 1 1
Cartesian
-0.3354 1.6885 -0.9426
0.6522 -0.8018 -1.6684
0.0000 0.0000 0.0000
-2.0064 -0.6594 -0.4674
-1.6896 0.2272 -3.0783
```



Record 7
Density functional theory data (GGA-PBE) for CaUI2 after structural relaxation.

E: -17.36 eV/f.u.

Structure (POSCAR):
```
CaUI2
1.0
-0.1017 0.7315 -3.8320
-0.9756 -2.8318 -2.5019
-10.6537 2.1282 -1.2982
I Ca U
2 1 1
Cartesian
-4.1929 -1.2443 -6.0878
-7.5380 1.2722 -1.5443
-5.8655 0.0139 -3.8161
0.0000 0.0000 0.0000
```



Record 8
Density functional theory data (GGA-PBE) for TiMnTl3 after structural relaxation.

distance to the lowest polymorph of the same formula: 592 meV/atom

Structure (POSCAR):
```
TiMnTl3
1.0
-4.9475 -1.9068 -0.4562
-0.2589 -0.5920 5.2825
-1.9435 4.9331 0.4576
Tl Mn Ti
3 1 1
Cartesian
-0.9717 2.4665 0.2288
-2.4737 -0.9534 -0.2281
-0.1294 -0.2960 2.6412
-3.5749 1.2171 2.6419
0.0000 0.0000 0.0000
```



Record 9
Density functional theory data (GGA-PBE) for Pa2CrNiN5 after structural relaxation.

E: -84.13 eV/f.u.

Structure (POSCAR):
```
Pa2CrNiN5
1.0
3.2536 0.0000 0.0000
-1.6268 6.4954 0.0000
0.0000 0.0000 9.6951
Pa N Ni Cr
4 10 2 2
Cartesian
1.6268 4.6745 7.8342
0.0000 1.4119 6.5747
0.0000 1.8210 2.9866
1.6268 5.0835 1.7271
0.0000 4.0427 3.6244
0.0000 6.4024 7.4874
0.0000 3.7117 6.4009
0.0000 4.5631 0.0279
0.0000 0.7135 0.6298
1.6268 2.7838 1.5533
1.6268 1.9324 4.8755
1.6268 0.0930 2.6398
1.6268 2.4528 8.4719
1.6268 5.7820 5.4773
1.6268 0.6892 9.2396
0.0000 5.8063 4.3921
0.0000 2.5464 0.1026
1.6268 3.9490 4.9502
```



Number 1: N(E_F) 0.03 states/eV per atom. Number 2: N(E_F) 0.70 states/eV per atom. Number 3: N(E_F) 0.00 states/eV per atom. Number 4: N(E_F) 0.29 states/eV per atom. Number 5: N(E_F) 1.10 states/eV per atom. Number 6: N(E_F) 0.82 states/eV per atom. Number 7: N(E_F) 2.37 states/eV per atom. Number 8: N(E_F) 1.45 states/eV per atom. Number 9: N(E_F) 0.65 states/eV per atom.